(1)
CsMo3W | PBE | relaxed

Results
As for the total magnetization: 4.5 Bohr magnetons per cell. Its distance to the lowest polymorph of the same formula is 0 meV per atom. As for the space group: Pm-3m, No. 221.

Unit cell a=4.9628 b=4.9628 c=4.9628 alpha=90.00 beta=90.00 gamma=90.00
With the nearest neighbours (Å) after each atom.
Sites, in units of the cell vectors:
Cs: 0.0000 0.0000 0.0000  12 Mo 3.51
Mo: 0.0000 0.5000 0.5000  2 W 2.48
Mo: 0.5000 0.0000 0.5000  2 W 2.48
Mo: 0.5000 0.5000 0.0000  2 W 2.48
W: 0.5000 0.5000 0.5000  6 Mo 2.48

=====

(2)
CsMoW2 | PBE | relaxed

Results
As for the total magnetization: 0.0 Bohr magnetons per cell. Its distance to the lowest polymorph of the same formula is 0 meV per atom. As for the space group: Fm-3m, No. 225.

Unit cell a=4.7565 b=4.7565 c=4.7565 alpha=60.00 beta=60.00 gamma=60.00
With the nearest neighbours (Å) after each atom.
Sites, in units of the cell vectors:
Cs: 0.0000 0.0000 0.0000  8 W 2.91
Mo: 0.5000 0.5000 0.5000  8 W 2.91
W: 0.2500 0.2500 0.2500  4 Mo 2.91, 4 Cs 2.91
W: 0.7500 0.7500 0.7500  4 Cs 2.91, 4 Mo 2.91

=====

(3)
CsMo2W | PBE | relaxed

Results
As for the total magnetization: 0.0 Bohr magnetons per cell. Its distance to the lowest polymorph of the same formula is 0 meV per atom. As for the space group: Fm-3m, No. 225.

Unit cell a=4.7579 b=4.7579 c=4.7579 alpha=60.00 beta=60.00 gamma=60.00
With the nearest neighbours (Å) after each atom.
Sites, in units of the cell vectors:
Cs: 0.0000 0.0000 0.0000  8 Mo 2.91
Mo: 0.2500 0.2500 0.2500  4 W 2.91, 4 Cs 2.91
Mo: 0.7500 0.7500 0.7500  4 W 2.91, 4 Cs 2.91
W: 0.5000 0.5000 0.5000  8 Mo 2.91

=====

(4)
CsMo2W4 | PBE | relaxed

Results
As for the total magnetization: 0.0 Bohr magnetons per cell. As for the space group: I4/mmm, No. 139.

Unit cell a=7.3328 b=7.3328 c=7.3328 alpha=140.75 beta=140.75 gamma=56.71
With the nearest neighbours (Å) after each atom.
Sites, in units of the cell vectors:
Cs: 0.0000 0.0000 0.0000  6 W 2.46-2.68
Mo: 0.3904 0.3904 0.0000  1 W 2.36
Mo: 0.6096 0.6096 0.0000  1 W 2.36
W: 0.0000 0.5000 0.5000  2 Cs 2.46
W: 0.2075 0.2075 0.0000  1 Mo 2.36
W: 0.5000 0.0000 0.5000  2 Cs 2.46
W: 0.7925 0.7925 0.0000  1 Mo 2.36

=====

(5)
Cs2Mo2W | PBE | relaxed

Results
As for the total magnetization: 0.3 Bohr magnetons per cell. Its distance to the lowest polymorph of the same formula is 670 meV per atom. As for the space group: I4/mmm, No. 139.

Unit cell a=8.7359 b=8.7359 c=8.7359 alpha=152.28 beta=152.28 gamma=39.61
With the nearest neighbours (Å) after each atom.
Sites, in units of the cell vectors:
Cs: 0.2500 0.7500 0.5000  4 Cs 2.96
Cs: 0.7500 0.2500 0.5000  4 Cs 2.96
Mo: 0.0640 0.0640 0.0000  1 Mo 2.11
Mo: 0.9360 0.9360 0.0000  1 Mo 2.11
W: 0.5000 0.5000 0.0000  8 Mo 3.14

=====

(6)
Cs3MoW | PBE | relaxed

Results
As for the total magnetization: 0.0 Bohr magnetons per cell. As for the space group: Pm-3m, No. 221.

Unit cell a=5.8776 b=5.8776 c=5.8776 alpha=90.00 beta=90.00 gamma=90.00
With the nearest neighbours (Å) after each atom.
Sites, in units of the cell vectors:
Cs: 0.0000 0.0000 0.5000  2 Mo 2.94
Cs: 0.0000 0.5000 0.0000  2 Mo 2.94
Cs: 0.5000 0.0000 0.0000  2 Mo 2.94
Mo: 0.0000 0.0000 0.0000  6 Cs 2.94
W: 0.5000 0.5000 0.5000  12 Cs 4.16

=====

(7)
Cs2Mo2W | PBE | relaxed

Results
As for the total magnetization: 0.7 Bohr magnetons per cell. Its distance to the lowest polymorph of the same formula is 431 meV per atom. As for the space group: I4/mmm, No. 139.

Unit cell a=13.5017 b=13.5017 c=13.5017 alpha=165.32 beta=165.32 gamma=20.82
With the nearest neighbours (Å) after each atom.
Sites, in units of the cell vectors:
Cs: 0.1113 0.1113 0.0000  4 Cs 3.45, 4 W 3.83
Cs: 0.8887 0.8887 0.0000  4 Cs 3.45, 4 W 3.83
Mo: 0.2500 0.7500 0.5000  4 Mo 2.44
Mo: 0.7500 0.2500 0.5000  4 Mo 2.44
W: 0.5000 0.5000 0.0000  4 W 3.45, 8 Cs 3.83

=====

(8)
CsMoW3 | PBE | relaxed

Results
As for the total magnetization: 0.0 Bohr magnetons per cell. Its distance to the lowest polymorph of the same formula is 0 meV per atom. As for the space group: Pm-3m, No. 221.

Unit cell a=4.9532 b=4.9532 c=4.9532 alpha=90.00 beta=90.00 gamma=90.00
With the nearest neighbours (Å) after each atom.
Sites, in units of the cell vectors:
Cs: 0.0000 0.0000 0.0000  12 W 3.50
Mo: 0.5000 0.5000 0.5000  6 W 2.48
W: 0.0000 0.5000 0.5000  2 Mo 2.48
W: 0.5000 0.0000 0.5000  2 Mo 2.48
W: 0.5000 0.5000 0.0000  2 Mo 2.48

=====

(9)
CsMoW2 | PBE | relaxed

Results
As for the total magnetization: 0.0 Bohr magnetons per cell. Its distance to the lowest polymorph of the same formula is 102 meV per atom. As for the space group: I-42d, No. 122.

Unit cell a=9.3724 b=9.3724 c=9.3724 alpha=147.36 beta=147.36 gamma=46.83
With the nearest neighbours (Å) after each atom.
Sites, in units of the cell vectors:
Cs: 0.0000 0.0000 0.0000  8 W 3.54-3.76, 4 Mo 3.72
Cs: 0.7500 0.2500 0.5000  8 W 3.54-3.76, 4 Mo 3.72
Mo: 0.2500 0.7500 0.5000  4 W 2.53
Mo: 0.5000 0.5000 0.0000  4 W 2.53
W: 0.3463 0.1250 0.7213  2 Mo 2.53, 2 W 2.65
W: 0.3750 0.6537 0.7787  2 Mo 2.53, 2 W 2.65
W: 0.4037 0.6250 0.2787  2 Mo 2.53, 2 W 2.65
W: 0.8750 0.5963 0.2213  2 Mo 2.53, 2 W 2.65

=====

(10)
CsMoW3 | PBE | relaxed

Results
As for the total magnetization: 0.1 Bohr magnetons per cell. Its distance to the lowest polymorph of the same formula is 1695 meV per atom. As for the space group: Pm-3m, No. 221.

Unit cell a=4.8362 b=4.8362 c=4.8362 alpha=90.00 beta=90.00 gamma=90.00
With the nearest neighbours (Å) after each atom.
Sites, in units of the cell vectors:
Cs: 0.0000 0.0000 0.0000  6 W 2.42
Mo: 0.5000 0.5000 0.5000  12 W 3.42
W: 0.0000 0.0000 0.5000  2 Cs 2.42
W: 0.0000 0.5000 0.0000  2 Cs 2.42
W: 0.5000 0.0000 0.0000  2 Cs 2.42

=====

(11)
CsZrMoW2 | PBE | relaxed

Results
As for the total magnetization: 0.0 Bohr magnetons per cell. As for the space group: P4/mmm, No. 123.

Unit cell a=4.9282 b=4.9282 c=4.8396 alpha=90.00 beta=90.00 gamma=90.00
With the nearest neighbours (Å) after each atom.
Sites, in units of the cell vectors:
Cs: 0.0000 0.0000 0.0000  2 Mo 2.42, 4 W 2.46
Zr: 0.5000 0.5000 0.5000  8 W 3.45, 4 Mo 3.48
Mo: 0.0000 0.0000 0.5000  2 Cs 2.42
W: 0.0000 0.5000 0.0000  2 Cs 2.46
W: 0.5000 0.0000 0.0000  2 Cs 2.46

=====

(12)
Cs2YMo2 | PBE | relaxed

Results
As for the total magnetization: 0.0 Bohr magnetons per cell. As for the space group: I4/mmm, No. 139.

Unit cell a=6.8288 b=6.8288 c=6.8288 alpha=139.02 beta=139.02 gamma=59.34
With the nearest neighbours (Å) after each atom.
Sites, in units of the cell vectors:
Cs: 0.1339 0.1339 0.0000  4 Mo 2.76
Cs: 0.8661 0.8661 0.0000  4 Mo 2.76
Y: 0.5000 0.5000 0.0000  8 Cs 3.74, 8 Mo 3.81
Mo: 0.2500 0.7500 0.5000  4 Cs 2.76
Mo: 0.7500 0.2500 0.5000  4 Cs 2.76

=====

What are the N(E_F) values for these records? In order: 1.3404 1.2055 1.4500 1.3336 0.9262 5.8498 2.0257 2.8125 1.2342 1.5007 1.5583 1.1940 states/eV per atom.
What are the formation enthalpy at 0 K values for these records? In order: 989.7 825.0 737.8 2133.6 1062.2 1437.5 947.1 1186.7 864.3 2004.6 1582.6 1097.7 kJ/mol of formula units.